## ZrScAl (SCAN)

Data for a PBEsol-optimized structure of ZrScAl.

a b c (Å): 3.1450 3.1450 7.3022
angles (deg): 90.00 90.00 120.00
Space group P3m1 (No. 156)
One atom of each set of equivalent atoms:
Zr 0.0000 0.0000 0.0000
Sc 0.6667 0.3333 0.3460
Al 0.3333 0.6667 0.6739

The value obtained for the density of states at the Fermi level is 2.8 states/eV/cell. The calculation puts the formation enthalpy at 0 K at -0.4 eV/f.u. The total magnetic moment is 0.00 μB per atom.

---

## ZrScAl (SCAN)

Data for a PBEsol-optimized structure of ZrScAl.

a b c (Å): 3.098 4.077 9.458
angles (deg): 90.00 90.00 90.00
Space group Imm2 (No. 44)
One atom of each set of equivalent atoms:
Zr 0.000 0.000 0.000
Sc 0.000 0.000 0.315
Al 0.000 0.000 0.659

The value obtained for the density of states at the Fermi level is 4.8 states/eV/cell. The calculation puts the formation enthalpy at 0 K at -0.8 eV/f.u. The total magnetic moment is 0.34 μB per atom.

---

## Zr2ScAl2 (SCAN)

Data for a PBEsol-optimized structure of Zr2ScAl2.

a b c (Å): 7.657 7.657 3.444
angles (deg): 90.00 90.00 90.00
Space group P4/mbm (No. 127)
One atom of each set of equivalent atoms:
Zr 0.176 0.324 0.000
Sc 0.000 0.000 0.500
Al 0.121 0.621 0.500

The value obtained for the density of states at the Fermi level is 11.2 states/eV/cell. The calculation puts the formation enthalpy at 0 K at -2.0 eV/f.u. The total magnetic moment is 0.12 μB per atom.

---

## Zr3ScAl (SCAN)

Data for a PBEsol-optimized structure of Zr3ScAl.

a b c (Å): 5.019 5.019 5.019
angles (deg): 90.00 90.00 90.00
Space group Pm-3m (No. 221)
One atom of each set of equivalent atoms:
Zr 0.000 0.000 0.500
Sc 0.500 0.500 0.500
Al 0.000 0.000 0.000

The value obtained for the density of states at the Fermi level is 8.9 states/eV/cell. The calculation puts the formation enthalpy at 0 K at 2.7 eV/f.u. The total magnetic moment is 0.00 μB per atom.